A plane-wave DFT calculation with PBE was carried out for a geometry-optimized NiRh2I2 structure.

Raw formation energy ... 657.2 meV per atom
Total energy ... -20.3 eV per cell

Cell: 5.3571 5.3571 5.3571 Å, 120.44 120.44 89.23°
With the nearest neighbours (Å) after each atom.
Atoms (fractional coordinates):
Ni1 0.0000 0.0000 0.0000  2 Rh 2.48
Rh1 0.3255 0.3255 0.0000  1 Ni 2.48, 1 Rh 2.66, 4 I 2.72
Rh2 0.6745 0.6745 0.0000  1 Ni 2.48, 1 Rh 2.66, 4 I 2.72
I1 0.2500 0.7500 0.5000  4 Rh 2.72
I2 0.7500 0.2500 0.5000  4 Rh 2.72